Computed, not measured: an optimized crystal structure of AcZrGa2 at the PBE-GGA level of DFT.

Summary:
Energy relative to the lowest polymorph listed for this composition, meV/atom: 211
Symmetry: R-3m (166)
Mass density, g/cm³: 7.25
Density of states at the Fermi level, states/eV/cell: 12.805

Cell lengths 3.770, 3.770, 25.563 Å; angles 90.00, 90.00, 120.00 degrees
Sites, in units of the cell vectors:
Ac (0.000, 0.000, 0.000)
Ac (0.333, 0.667, 0.667)
Ac (0.667, 0.333, 0.333)
Zr (0.000, 0.000, 0.500)
Zr (0.333, 0.667, 0.167)
Zr (0.667, 0.333, 0.833)
Ga (0.000, 0.000, 0.238)
Ga (0.000, 0.000, 0.762)
Ga (0.333, 0.667, 0.429)
Ga (0.333, 0.667, 0.905)
Ga (0.667, 0.333, 0.095)
Ga (0.667, 0.333, 0.571)


Computed, not measured: an optimized crystal structure of AcGd6 at the PBE-GGA level of DFT.

Summary:
Symmetry: Im-3m (229)
Mass density, g/cm³: 7.29
Calculated total energy, eV per atom: -11.547
Density of states at the Fermi level, states/eV/cell: 16.789

Cell lengths 8.109, 8.109, 8.109 Å; angles 90.00, 90.00, 90.00 degrees
Sites, in units of the cell vectors:
Ac (0.000, 0.000, 0.000)
Ac (0.500, 0.500, 0.500)
Gd (0.000, 0.250, 0.500)
Gd (0.000, 0.500, 0.250)
Gd (0.000, 0.500, 0.750)
Gd (0.000, 0.750, 0.500)
Gd (0.250, 0.000, 0.500)
Gd (0.250, 0.500, 0.000)
Gd (0.500, 0.000, 0.250)
Gd (0.500, 0.000, 0.750)
Gd (0.500, 0.250, 0.000)
Gd (0.500, 0.750, 0.000)
Gd (0.750, 0.000, 0.500)
Gd (0.750, 0.500, 0.000)


Computed, not measured: an optimized crystal structure of Ac2Gd at the PBE-GGA level of DFT.

Summary:
Energy relative to the lowest polymorph listed for this composition, meV/atom: 0
Symmetry: I4/mmm (139)
Mass density, g/cm³: 8.35
Density of states at the Fermi level, states/eV/cell: 10.118

Cell lengths 3.890, 3.890, 16.064 Å; angles 90.00, 90.00, 90.00 degrees
Sites, in units of the cell vectors:
Ac (0.000, 0.000, 0.162)
Ac (0.000, 0.000, 0.838)
Ac (0.500, 0.500, 0.338)
Ac (0.500, 0.500, 0.662)
Gd (0.000, 0.000, 0.500)
Gd (0.500, 0.500, 0.000)


Computed, not measured: an optimized crystal structure of AcGd2 at the PBE-GGA level of DFT.

Summary:
Energy relative to the lowest polymorph listed for this composition, meV/atom: 105
Symmetry: Fd-3m (227)
Mass density, g/cm³: 7.89
Density of states at the Fermi level, states/eV/cell: 17.121

Cell lengths 6.857, 6.857, 6.857 Å; angles 60.00, 60.00, 60.00 degrees
Sites, in units of the cell vectors:
Ac (0.125, 0.125, 0.125)
Ac (0.875, 0.875, 0.875)
Gd (0.000, 0.500, 0.500)
Gd (0.500, 0.000, 0.500)
Gd (0.500, 0.500, 0.000)
Gd (0.500, 0.500, 0.500)


Computed, not measured: an optimized crystal structure of AcGd at the PBE-GGA level of DFT.

Summary:
Energy relative to the lowest polymorph listed for this composition, meV/atom: 0
Symmetry: Pmmn (59)
Mass density, g/cm³: 8.24
Density of states at the Fermi level, states/eV/cell: 7.238

Cell lengths 3.843, 6.156, 6.546 Å; angles 90.00, 90.00, 90.00 degrees
Sites, in units of the cell vectors:
Ac (0.250, 0.250, 0.088)
Ac (0.750, 0.750, 0.912)
Gd (0.250, 0.750, 0.416)
Gd (0.750, 0.250, 0.584)


Computed, not measured: an optimized crystal structure of Ac2Gd at the PBE-GGA level of DFT.

Summary:
Energy relative to the lowest polymorph listed for this composition, meV/atom: 311
Symmetry: Fd-3m (227)
Mass density, g/cm³: 7.75
Density of states at the Fermi level, states/eV/cell: 15.844

Cell lengths 7.180, 7.180, 7.180 Å; angles 60.00, 60.00, 60.00 degrees
Sites, in units of the cell vectors:
Ac (0.000, 0.000, 0.000)
Ac (0.000, 0.000, 0.500)
Ac (0.000, 0.500, 0.000)
Ac (0.500, 0.000, 0.000)
Gd (0.375, 0.375, 0.375)
Gd (0.625, 0.625, 0.625)


Computed, not measured: an optimized crystal structure of Ac5Gd at the PBE-GGA level of DFT.

Summary:
Symmetry: Cmmm (65)
Mass density, g/cm³: 8.33
Calculated total energy, eV per atom: -5.744
Density of states at the Fermi level, states/eV/cell: 22.897

Cell lengths 5.550, 16.650, 5.574 Å; angles 90.00, 90.00, 90.00 degrees
Sites, in units of the cell vectors:
Ac (0.000, 0.000, 0.000)
Ac (0.000, 0.163, 0.500)
Ac (0.000, 0.335, 0.000)
Ac (0.000, 0.665, 0.000)
Ac (0.000, 0.837, 0.500)
Ac (0.500, 0.165, 0.000)
Ac (0.500, 0.337, 0.500)
Ac (0.500, 0.500, 0.000)
Ac (0.500, 0.663, 0.500)
Ac (0.500, 0.835, 0.000)
Gd (0.000, 0.500, 0.500)
Gd (0.500, 0.000, 0.500)


Computed, not measured: an optimized crystal structure of AcGd at the PBE-GGA level of DFT.

Summary:
Energy relative to the lowest polymorph listed for this composition, meV/atom: 46
Symmetry: Pm-3m (221)
Mass density, g/cm³: 8.27
Density of states at the Fermi level, states/eV/cell: 4.220

Cell lengths 4.258, 4.258, 4.258 Å; angles 90.00, 90.00, 90.00 degrees
Sites, in units of the cell vectors:
Ac (0.000, 0.000, 0.000)
Gd (0.500, 0.500, 0.500)


Computed, not measured: an optimized crystal structure of AcGd2 at the PBE-GGA level of DFT.

Summary:
Energy relative to the lowest polymorph listed for this composition, meV/atom: 0
Symmetry: I4/mmm (139)
Mass density, g/cm³: 8.19
Density of states at the Fermi level, states/eV/cell: 11.103

Cell lengths 4.289, 4.289, 11.935 Å; angles 90.00, 90.00, 90.00 degrees
Sites, in units of the cell vectors:
Ac (0.000, 0.000, 0.000)
Ac (0.500, 0.500, 0.500)
Gd (0.000, 0.000, 0.320)
Gd (0.000, 0.000, 0.680)
Gd (0.500, 0.500, 0.180)
Gd (0.500, 0.500, 0.820)


Computed, not measured: an optimized crystal structure of AcGdGe2 at the PBE-GGA level of DFT.

Summary:
Symmetry: R-3m (166)
Mass density, g/cm³: 7.59
Calculated total energy, eV per atom: -7.469
Density of states at the Fermi level, states/eV/cell: 9.435

Cell lengths 4.784, 4.784, 17.546 Å; angles 90.00, 90.00, 120.00 degrees
Sites, in units of the cell vectors:
Ac (0.000, 0.000, 0.000)
Ac (0.333, 0.667, 0.667)
Ac (0.667, 0.333, 0.333)
Gd (0.000, 0.000, 0.500)
Gd (0.333, 0.667, 0.167)
Gd (0.667, 0.333, 0.833)
Ge (0.000, 0.000, 0.233)
Ge (0.000, 0.000, 0.767)
Ge (0.333, 0.667, 0.433)
Ge (0.333, 0.667, 0.900)
Ge (0.667, 0.333, 0.100)
Ge (0.667, 0.333, 0.567)


Computed, not measured: an optimized crystal structure of AcGdGe2 at the PBE-GGA level of DFT.

Summary:
Symmetry: P4/mmm (123)
Mass density, g/cm³: 8.40
Calculated total energy, eV per atom: -7.501
Density of states at the Fermi level, states/eV/cell: 2.419

Cell lengths 3.938, 3.938, 6.749 Å; angles 90.00, 90.00, 90.00 degrees
Sites, in units of the cell vectors:
Ac (0.000, 0.000, 0.000)
Gd (0.000, 0.000, 0.500)
Ge (0.500, 0.500, 0.299)
Ge (0.500, 0.500, 0.701)


Computed, not measured: an optimized crystal structure of AcGdGe at the PBE-GGA level of DFT.

Summary:
Energy relative to the lowest polymorph listed for this composition, meV/atom: 49
Symmetry: I4mm (107)
Mass density, g/cm³: 8.36
Density of states at the Fermi level, states/eV/cell: 7.230

Cell lengths 3.982, 3.982, 11.450 Å; angles 90.00, 90.00, 90.00 degrees
Sites, in units of the cell vectors:
Ac (0.000, 0.000, 0.000)
Ac (0.500, 0.500, 0.500)
Gd (0.000, 0.000, 0.279)
Gd (0.500, 0.500, 0.779)
Ge (0.000, 0.000, 0.671)
Ge (0.500, 0.500, 0.171)


Q: The lowest density of states at the Fermi level belongs to which entry?
A: number 11


Q: The lowest mass density belongs to which entry?
A: AcZrGa2


Q: Look up the mass density of the third one.
A: 8.35 g/cm³


Q: mass density of number 3 (Ac2Gd)?
A: 8.35 g/cm³